Below is an optimized crystal structure of La4BeSe, with properties calculated at the PBE level.

Computed properties:
The calculation puts the uncorrected formation energy at 0.378 eV per atom. Its density of states at the Fermi level is 8.52 states/eV per cell. For the total magnetization, the calculation gives 0.00 μB/cell.

Cell lengths 6.3279, 6.3279, 6.3279 Å; angles 60.00, 60.00, 60.00 degrees
Element x y z (fractional)
La: 0.3757 0.3757 0.3757
La: 0.3757 0.3757 0.8730
La: 0.3757 0.8730 0.3757
La: 0.8730 0.3757 0.3757
Be: 0.7500 0.7500 0.7500
Se: 0.0000 0.0000 0.0000